# 1
# AlTl2Ni, relaxed, DFT PBE-GGA
data_AlTl2Ni
_cell_length_a 4.230
_cell_length_b 3.456
_cell_length_c 5.986
_cell_angle_alpha 90.00
_cell_angle_beta 104.14
_cell_angle_gamma 90.00
_space_group_name_H-M_alt 'P 1 2/m 1'
_space_group_IT_number 10
loop_
_space_group_symop_operation_xyz
'x,y,z'
'-x,-y,-z'
'-x,y,-z'
'x,-y,z'
loop_
_atom_site_label
_atom_site_fract_x
_atom_site_fract_y
_atom_site_fract_z
_atom_site_occupancy
Al1 0.000 0.000 0.000 1
Tl1 0.440 0.500 0.737 1
Ni1 0.000 0.000 0.500 1
# **Energy relative to the elements**: 0.38 eV/atom
# **Total magnetic moment**: 0.00 μB/cell

# 2
# La4PmPr2Th, relaxed, DFT PBE-GGA
data_La4PmPr2Th
_cell_length_a 6.408
_cell_length_b 3.680
_cell_length_c 12.261
_cell_angle_alpha 90.00
_cell_angle_beta 99.78
_cell_angle_gamma 90.00
_space_group_name_H-M_alt 'P 1 2/m 1'
_space_group_IT_number 10
loop_
_space_group_symop_operation_xyz
'x,y,z'
'-x,-y,-z'
'-x,y,-z'
'x,-y,z'
loop_
_atom_site_label
_atom_site_fract_x
_atom_site_fract_y
_atom_site_fract_z
_atom_site_occupancy
La1 0.240 0.000 0.244 1
La2 0.246 0.500 0.752 1
Pm1 0.000 0.000 0.500 1
Pr1 0.500 0.000 0.000 1
Pr2 0.500 0.500 0.500 1
Th1 0.000 0.500 0.000 1
# **Energy relative to the elements**: 0.03 eV/atom
# **Total magnetic moment**: 0.00 μB/cell

# 3
# Mn2Zn6Ag, relaxed, DFT PBE-GGA
data_Mn2Zn6Ag
_cell_length_a 4.218
_cell_length_b 5.363
_cell_length_c 12.715
_cell_angle_alpha 90.00
_cell_angle_beta 90.00
_cell_angle_gamma 90.00
_space_group_name_H-M_alt 'I m m 2'
_space_group_IT_number 44
loop_
_space_group_symop_operation_xyz
'x,y,z'
'-x,-y,z'
'-x,y,z'
'x,-y,z'
'x+1/2,y+1/2,z+1/2'
'-x+1/2,-y+1/2,z+1/2'
'-x+1/2,y+1/2,z+1/2'
'x+1/2,-y+1/2,z+1/2'
loop_
_atom_site_label
_atom_site_fract_x
_atom_site_fract_y
_atom_site_fract_z
_atom_site_occupancy
Mn1 0.000 0.000 0.000 1
Mn2 0.000 0.000 0.217 1
Zn1 0.000 0.246 0.416 1
Zn2 0.000 0.247 0.813 1
Zn3 0.000 0.265 0.617 1
Ag1 0.000 0.500 0.054 1
# **Energy relative to the elements**: 0.14 eV/atom
# **Total magnetic moment**: 13.52 μB/cell

# 4
# Tb2Er2Tm5, relaxed, DFT PBE-GGA
data_Tb2Er2Tm5
_cell_length_a 14.729
_cell_length_b 11.522
_cell_length_c 6.654
_cell_angle_alpha 90.00
_cell_angle_beta 90.00
_cell_angle_gamma 90.00
_space_group_name_H-M_alt 'I m a 2'
_space_group_IT_number 46
loop_
_space_group_symop_operation_xyz
'x,y,z'
'-x,-y,z'
'-x+1/2,y,z'
'x+1/2,-y,z'
'x+1/2,y+1/2,z+1/2'
'-x+1/2,-y+1/2,z+1/2'
'-x,y+1/2,z+1/2'
'x,-y+1/2,z+1/2'
loop_
_atom_site_label
_atom_site_fract_x
_atom_site_fract_y
_atom_site_fract_z
_atom_site_occupancy
Tb1 0.128 0.009 0.000 1
Er1 0.000 0.000 0.441 1
Er2 0.250 0.516 0.055 1
Tm1 0.054 0.239 0.652 1
Tm2 0.142 0.739 0.831 1
Tm3 0.250 0.241 0.346 1
# **Energy relative to the elements**: 0.23 eV/atom
# **Total magnetic moment**: 0.00 μB/cell

Among the records above, which one has the highest total magnetic moment? Mn2Zn6Ag

Please write out number 2 again, unchanged.
# La4PmPr2Th, relaxed, DFT PBE-GGA
data_La4PmPr2Th
_cell_length_a 6.408
_cell_length_b 3.680
_cell_length_c 12.261
_cell_angle_alpha 90.00
_cell_angle_beta 99.78
_cell_angle_gamma 90.00
_space_group_name_H-M_alt 'P 1 2/m 1'
_space_group_IT_number 10
loop_
_space_group_symop_operation_xyz
'x,y,z'
'-x,-y,-z'
'-x,y,-z'
'x,-y,z'
loop_
_atom_site_label
_atom_site_fract_x
_atom_site_fract_y
_atom_site_fract_z
_atom_site_occupancy
La1 0.240 0.000 0.244 1
La2 0.246 0.500 0.752 1
Pm1 0.000 0.000 0.500 1
Pr1 0.500 0.000 0.000 1
Pr2 0.500 0.500 0.500 1
Th1 0.000 0.500 0.000 1
# **Energy relative to the elements**: 0.03 eV/atom
# **Total magnetic moment**: 0.00 μB/cell

Look up the energy relative to the elements of the fourth one. 0.23 eV/atom

What did the first record say?
# AlTl2Ni, relaxed, DFT PBE-GGA
data_AlTl2Ni
_cell_length_a 4.230
_cell_length_b 3.456
_cell_length_c 5.986
_cell_angle_alpha 90.00
_cell_angle_beta 104.14
_cell_angle_gamma 90.00
_space_group_name_H-M_alt 'P 1 2/m 1'
_space_group_IT_number 10
loop_
_space_group_symop_operation_xyz
'x,y,z'
'-x,-y,-z'
'-x,y,-z'
'x,-y,z'
loop_
_atom_site_label
_atom_site_fract_x
_atom_site_fract_y
_atom_site_fract_z
_atom_site_occupancy
Al1 0.000 0.000 0.000 1
Tl1 0.440 0.500 0.737 1
Ni1 0.000 0.000 0.500 1
# **Energy relative to the elements**: 0.38 eV/atom
# **Total magnetic moment**: 0.00 μB/cell